This record from Alexandria via LeMat-Bulk describes an optimized crystal structure of Ti4SnPb. The functional is PBE.

Properties
- ΔE_f (eV/atom) = 0.0798
- crystal system = orthorhombic
- total magnetization (Bohr magnetons per cell) = 3.29

abc: 2.9631 8.1120 19.0771
angles: 90.00 90.00 90.00
Site moments in Bohr magnetons follow the coordinates.
Element x y z (fractional)
1 Ti 0.5000 0.7797 0.1937  0.27
2 Ti 0.5000 0.2203 0.8063  0.27
3 Ti 0.5000 0.2797 0.3063  0.27
4 Ti 0.5000 0.7203 0.6937  0.27
5 Ti 0.5000 0.9360 0.0638  0.15
6 Ti 0.5000 0.0640 0.9362  0.15
7 Ti 0.5000 0.4360 0.4362  0.15
8 Ti 0.5000 0.5640 0.5638  0.15
9 Ti 0.5000 0.7713 0.4404  0.04
10 Ti 0.5000 0.2287 0.5596  0.04
11 Ti 0.5000 0.2713 0.0596  0.04
12 Ti 0.5000 0.7287 0.9404  0.04
13 Ti 0.5000 0.9412 0.3116  0.24
14 Ti 0.5000 0.0588 0.6884  0.24
15 Ti 0.5000 0.4412 0.1884  0.24
16 Ti 0.5000 0.5588 0.8116  0.24
17 Sn 0.0000 0.6096 0.3148  -0.01
18 Sn 0.0000 0.3904 0.6852  -0.01
19 Sn 0.0000 0.1096 0.1852  -0.01
20 Sn 0.0000 0.8904 0.8148  -0.01
21 Pb 0.0000 0.6128 0.0737  -0.01
22 Pb 0.0000 0.3872 0.9263  -0.01
23 Pb 0.0000 0.1128 0.4263  -0.01
24 Pb 0.0000 0.8872 0.5737  -0.01


This record from Alexandria via LeMat-Bulk describes an optimized crystal structure of Ti2SnPb2. The functional is PBE.

Properties
- ΔE_f (eV/atom) = -0.0062
- crystal system = tetragonal
- total magnetization (Bohr magnetons per cell) = 0.00

abc: 7.3222 7.3222 4.2380
angles: 90.00 90.00 90.00
Element x y z (fractional)
1 Pb 0.1652 0.6652 0.5000
2 Pb 0.6652 0.8348 0.5000
3 Pb 0.8348 0.3348 0.5000
4 Pb 0.3348 0.1652 0.5000
5 Sn 0.0000 0.0000 0.0000
6 Sn 0.5000 0.5000 0.0000
7 Ti 0.3609 0.8609 0.0000
8 Ti 0.8609 0.6391 0.0000
9 Ti 0.6391 0.1391 0.0000
10 Ti 0.1391 0.3609 0.0000


This record from Alexandria via LeMat-Bulk describes an optimized crystal structure of TiTl2SnPb. The functional is PBE.

Properties
- ΔE_f (eV/atom) = 0.8886
- crystal system = tetragonal
- total magnetization (Bohr magnetons per cell) = 0.00

abc: 5.7770 5.3858 5.7770
angles: 90.00 90.00 90.00
Element x y z (fractional)
1 Pb 0.0000 0.0000 0.0000
2 Tl 0.0000 0.0000 0.5000
3 Tl 0.5000 0.0000 0.0000
4 Sn 0.5000 0.5000 0.5000
5 Ti 0.0000 0.5000 0.0000


This record from Alexandria via LeMat-Bulk describes an optimized crystal structure of Tl6SnPb5. The functional is PBE.

Properties
- ΔE_f (eV/atom) = 0.0095
- crystal system = monoclinic
- total magnetization (Bohr magnetons per cell) = 0.00

abc: 6.2075 7.7462 7.7462
angles: 85.20 94.53 94.53
Element x y z (fractional)
1 Pb 0.5000 0.1649 0.8351
2 Pb 0.0000 0.3298 0.6702
3 Pb 0.5000 0.5000 0.5000
4 Pb 0.0000 0.6702 0.3298
5 Pb 0.5000 0.8351 0.1649
6 Tl 0.2496 0.0833 0.4144
7 Tl 0.7504 0.5856 0.9167
8 Tl 0.7535 0.2480 0.2480
9 Tl 0.2465 0.7520 0.7520
10 Tl 0.2496 0.4144 0.0833
11 Tl 0.7504 0.9167 0.5856
12 Sn 0.0000 0.0000 0.0000


This record from Alexandria via LeMat-Bulk describes an optimized crystal structure of Tl3Sn8Pb. The functional is PBE.

Properties
- ΔE_f (eV/atom) = 0.0621
- crystal system = trigonal
- total magnetization (Bohr magnetons per cell) = 0.00

abc: 6.3852 6.3852 10.9221
angles: 73.00 73.00 60.00
Element x y z (fractional)
1 Tl 0.3769 0.3769 0.8692
2 Tl 0.9996 0.9996 0.0012
3 Tl 0.4979 0.4979 0.5064
4 Sn 0.9359 0.4372 0.1897
5 Sn 0.4390 0.9375 0.6860
6 Sn 0.4372 0.4372 0.1897
7 Sn 0.9375 0.9375 0.6860
8 Sn 0.1871 0.1871 0.4387
9 Sn 0.6872 0.6872 0.9384
10 Sn 0.4372 0.9359 0.1897
11 Sn 0.9375 0.4390 0.6860
12 Pb 0.8770 0.8770 0.3690


This record from Alexandria via LeMat-Bulk describes an optimized crystal structure of TlSn3Pb7. The functional is PBE.

Properties
- ΔE_f (eV/atom) = 0.0467
- crystal system = orthorhombic
- total magnetization (Bohr magnetons per cell) = 0.00

abc: 3.5249 13.9862 14.0145
angles: 90.00 90.00 97.24
Element x y z (fractional)
1 Tl 0.9003 0.8005 0.2500
2 Tl 0.0997 0.1995 0.7500
3 Sn 0.0810 0.1620 0.4611
4 Sn 0.9190 0.8380 0.5389
5 Sn 0.2208 0.4417 0.7500
6 Sn 0.7792 0.5583 0.2500
7 Sn 0.0810 0.1620 0.0389
8 Sn 0.9190 0.8380 0.9611
9 Pb 0.3948 0.7895 0.7500
10 Pb 0.6052 0.2105 0.2500
11 Pb 0.4887 0.9775 0.3786
12 Pb 0.5113 0.0225 0.6214
13 Pb 0.5113 0.0225 0.8786
14 Pb 0.4887 0.9775 0.1214
15 Pb 0.3309 0.6618 0.4247
16 Pb 0.6691 0.3382 0.5753
17 Pb 0.2001 0.4003 0.3770
18 Pb 0.7999 0.5997 0.6230
19 Pb 0.7999 0.5997 0.8770
20 Pb 0.2001 0.4003 0.1230
21 Pb 0.3309 0.6618 0.0753
22 Pb 0.6691 0.3382 0.9247


This record from Alexandria via LeMat-Bulk describes an optimized crystal structure of Tl4SnPb2. The functional is PBE.

Properties
- ΔE_f (eV/atom) = 0.2889
- crystal system = tetragonal
- total magnetization (Bohr magnetons per cell) = 0.00

abc: 5.8590 5.8590 8.9289
angles: 109.15 109.15 90.00
Element x y z (fractional)
1 Tl 0.8056 0.8056 0.6113
2 Tl 0.1944 0.1944 0.3887
3 Tl 0.0000 0.5000 0.0000
4 Tl 0.5000 0.0000 0.0000
5 Sn 0.0000 0.0000 0.0000
6 Pb 0.6053 0.6053 0.2105
7 Pb 0.3947 0.3947 0.7895


This record from Alexandria via LeMat-Bulk describes an optimized crystal structure of Tl5Sn4Pb2. The functional is PBE.

Properties
- ΔE_f (eV/atom) = 0.0438
- crystal system = triclinic
- total magnetization (Bohr magnetons per cell) = 0.00

abc: 3.5587 9.2658 11.8098
angles: 80.33 62.00 89.89
Element x y z (fractional)
1 Tl 0.9821 0.9058 0.6749
2 Tl 0.0179 0.0942 0.3251
3 Tl 0.8240 0.5068 0.7849
4 Tl 0.5000 0.0000 0.0000
5 Tl 0.1760 0.4932 0.2151
6 Sn 0.3689 0.1969 0.7518
7 Sn 0.9559 0.3003 0.0288
8 Sn 0.6311 0.8031 0.2482
9 Sn 0.0441 0.6997 0.9712
10 Pb 0.2543 0.3413 0.4971
11 Pb 0.7457 0.6587 0.5029


This record from Alexandria via LeMat-Bulk describes an optimized crystal structure of Tl2SnPb4. The functional is PBE.

Properties
- ΔE_f (eV/atom) = 0.0208
- crystal system = orthorhombic
- total magnetization (Bohr magnetons per cell) = 0.00

abc: 3.4721 3.4623 18.4127
angles: 90.00 95.41 90.00
Element x y z (fractional)
1 Tl 0.7924 0.5000 0.5848
2 Tl 0.2076 0.5000 0.4152
3 Sn 0.5000 0.0000 0.0000
4 Pb 0.9322 0.5000 0.8643
5 Pb 0.6376 0.0000 0.2752
6 Pb 0.0678 0.5000 0.1357
7 Pb 0.3624 0.0000 0.7248


This record from Alexandria via LeMat-Bulk describes an optimized crystal structure of Tl2Sn4Pb3. The functional is PBE.

Properties
- ΔE_f (eV/atom) = 0.0306
- crystal system = monoclinic
- total magnetization (Bohr magnetons per cell) = 0.00

abc: 3.4822 7.6930 11.5431
angles: 63.26 81.32 76.92
Element x y z (fractional)
1 Tl 0.3261 0.1223 0.2256
2 Tl 0.6739 0.8777 0.7744
3 Sn 0.6660 0.5618 0.1062
4 Sn 0.9928 0.3331 0.6814
5 Sn 0.0072 0.6669 0.3186
6 Sn 0.3340 0.4382 0.8938
7 Pb 0.3489 0.7548 0.5474
8 Pb 0.0000 0.0000 0.0000
9 Pb 0.6511 0.2452 0.4526


This record from Alexandria via LeMat-Bulk describes an optimized crystal structure of TlSn5Pb6. The functional is PBE.

Properties
- ΔE_f (eV/atom) = 0.0477
- crystal system = monoclinic
- total magnetization (Bohr magnetons per cell) = 0.00

abc: 3.4548 11.7335 9.0391
angles: 90.00 79.69 90.00
Element x y z (fractional)
1 Pb 0.8361 0.7508 0.3323
2 Pb 0.8361 0.2492 0.3323
3 Pb 0.5000 0.2579 0.0000
4 Pb 0.5000 0.7421 0.0000
5 Pb 0.1639 0.7508 0.6677
6 Pb 0.1639 0.2492 0.6677
7 Tl 0.0000 0.0000 0.0000
8 Sn 0.6599 0.5000 0.6649
9 Sn 0.3328 0.0000 0.3475
10 Sn 0.0000 0.5000 0.0000
11 Sn 0.6672 0.0000 0.6525
12 Sn 0.3401 0.5000 0.3351


This record from Alexandria via LeMat-Bulk describes an optimized crystal structure of Tl5SnPb. The functional is PBE.

Properties
- ΔE_f (eV/atom) = 0.0854
- crystal system = tetragonal
- total magnetization (Bohr magnetons per cell) = 0.00

abc: 5.1807 5.1807 8.5431
angles: 90.00 90.00 90.00
Element x y z (fractional)
1 Tl 0.5000 0.5000 0.0000
2 Tl 0.5000 0.0000 0.2611
3 Tl 0.0000 0.5000 0.2611
4 Tl 0.5000 0.0000 0.7389
5 Tl 0.0000 0.5000 0.7389
6 Sn 0.0000 0.0000 0.0000
7 Pb 0.0000 0.0000 0.5000


It is found that the DOS at the Fermi energy values, taken in the order of the records, are 7.7, 4.3, 5.9, 4.5, 5.9, 5.1, 5.9, 3.9, 4.2, 4.4, 6.7, 4.4 states/eV/f.u..